Computed, not measured: an optimized crystal structure of PrSmAgPd at the PBE level of DFT.

Values from the calculation:
offset from the most stable computed form	28	meV per atom
energy of formation from the pure elements	-0.490	eV per atom
total energy	-4.876	eV per atom

a b c (Å): 7.3649 7.3649 7.3649
angles (deg): 90.00 90.00 90.00
With the nearest neighbours (Å) after each atom.
Space group F-43m (No. 216)
Inequivalent atoms, fractional coordinates:
Pr  0.0000  0.0000  0.0000  4 Ag 3.19, 4 Pd 3.19
Sm  0.0000  0.0000  0.5000  4 Pd 3.19, 4 Ag 3.19
Ag  0.2500  0.2500  0.2500  4 Pr 3.19, 4 Sm 3.19
Pd  0.2500  0.2500  0.7500  4 Pr 3.19, 4 Sm 3.19